A plane-wave DFT calculation with PBE-GGA was carried out for crystalline PrCd2BiO6 at its relaxed geometry.

## Properties
SG: R3, No. 146
Total magnetic moment in μB/f.u.: 0.00
Energy in eV/atom: -5.585

Unit cell a=6.166 b=6.166 c=6.166 alpha=56.58 beta=56.58 gamma=56.58
Fractional positions:
Pr 0.000 0.000 0.000
Cd 0.275 0.275 0.275
Cd 0.782 0.782 0.782
Bi 0.490 0.490 0.490
O 0.117 0.683 0.397
O 0.222 0.596 0.858
O 0.397 0.117 0.683
O 0.596 0.858 0.222
O 0.683 0.397 0.117
O 0.858 0.222 0.596



A plane-wave DFT calculation with PBE-GGA was carried out for crystalline Pr2CdBiO6 at its relaxed geometry.

## Properties
SG: R3, No. 146
Total magnetic moment in μB/f.u.: 0.00
Energy in eV/atom: -6.544

Unit cell a=6.232 b=6.232 c=6.232 alpha=57.72 beta=57.72 gamma=57.72
Fractional positions:
Pr 0.000 0.000 0.000
Pr 0.499 0.499 0.499
Cd 0.276 0.276 0.276
Bi 0.782 0.782 0.782
O 0.077 0.412 0.665
O 0.157 0.899 0.591
O 0.412 0.665 0.077
O 0.591 0.157 0.899
O 0.665 0.077 0.412
O 0.899 0.591 0.157



A plane-wave DFT calculation with PBE-GGA was carried out for crystalline CdBiPtO4 at its relaxed geometry.

## Properties
SG: Imma, No. 74
Total magnetic moment in μB/f.u.: 0.00
Energy in eV/atom: -5.132

Unit cell a=6.909 b=6.909 c=6.909 alpha=125.41 beta=118.24 gamma=86.99
Fractional positions:
Cd 0.448 0.198 0.250
Cd 0.552 0.802 0.750
Bi 0.000 0.500 0.500
Bi 0.500 0.500 0.000
Pt 0.000 0.000 0.500
Pt 0.000 0.500 0.000
O 0.155 0.728 0.426
O 0.198 0.272 0.926
O 0.327 0.367 0.540
O 0.327 0.786 0.960
O 0.673 0.214 0.040
O 0.673 0.633 0.460
O 0.802 0.728 0.074
O 0.845 0.272 0.574



A plane-wave DFT calculation with PBE-GGA was carried out for crystalline CdBiPt2O8 at its relaxed geometry.

## Properties
SG: P-3, No. 147
Total magnetic moment in μB/f.u.: 0.00
Energy in eV/atom: -4.721

Unit cell a=6.018 b=6.018 c=6.077 alpha=90.00 beta=90.00 gamma=120.00
Fractional positions:
Cd 0.000 0.000 0.000
Bi 0.000 0.000 0.500
Pt 0.333 0.667 0.453
Pt 0.667 0.333 0.547
O 0.071 0.392 0.640
O 0.322 0.929 0.640
O 0.333 0.667 0.154
O 0.392 0.322 0.360
O 0.608 0.678 0.640
O 0.667 0.333 0.846
O 0.678 0.071 0.360
O 0.929 0.608 0.360



A plane-wave DFT calculation with PBE-GGA was carried out for crystalline CdBi2PtO6 at its relaxed geometry.

## Properties
SG: R3, No. 146
Total magnetic moment in μB/f.u.: 0.00
Energy in eV/atom: -5.402

Unit cell a=5.936 b=5.936 c=5.936 alpha=59.25 beta=59.25 gamma=59.25
Fractional positions:
Cd 0.000 0.000 0.000
Bi 0.267 0.267 0.267
Bi 0.777 0.777 0.777
Pt 0.480 0.480 0.480
O 0.143 0.668 0.358
O 0.211 0.620 0.819
O 0.358 0.143 0.668
O 0.620 0.819 0.211
O 0.668 0.358 0.143
O 0.819 0.211 0.620



A plane-wave DFT calculation with PBE-GGA was carried out for crystalline PuCdBi2O at its relaxed geometry.

## Properties
SG: P4/nmm, No. 129
Total magnetic moment in μB/f.u.: 5.08
Energy in eV/atom: -6.625

Unit cell a=3.821 b=3.821 c=18.567 alpha=90.00 beta=90.00 gamma=90.00
Fractional positions:
Pu 0.250 0.250 0.066
Pu 0.750 0.750 0.934
Cd 0.250 0.250 0.657
Cd 0.750 0.750 0.343
Bi 0.250 0.250 0.434
Bi 0.250 0.250 0.815
Bi 0.750 0.750 0.185
Bi 0.750 0.750 0.566
O 0.250 0.750 0.000
O 0.750 0.250 0.000